Record 1
The following is a DFT calculation (PBE) of NaZn2Ge2 after structural relaxation.

Geometry as extended XYZ:
```
5
Lattice="-2.129 2.129 5.438 2.129 -2.129 5.438 2.129 2.129 -5.438" Properties=species:S:1:pos:R:3 pbc="T T T"
Ge 0.000 0.000 4.192
Ge 0.000 0.000 6.683
Na 0.000 0.000 0.000
Zn 0.000 2.129 2.719
Zn 2.129 0.000 2.719
```

Output
- E: -2.715 eV per atom
- Crystal system: tetragonal

Record 2
The following is a DFT calculation (PBE) of NdHoAsO after structural relaxation.

Geometry as extended XYZ:
```
8
Lattice="4.302 0.000 0.000 0.000 4.302 0.000 0.000 0.000 9.146" Properties=species:S:1:pos:R:3 pbc="T T T"
As 0.000 2.151 2.552
As 2.151 0.000 6.595
Ho 2.151 0.000 0.863
Ho 0.000 2.151 8.284
Nd 0.000 0.000 4.573
Nd 2.151 2.151 4.573
O 0.000 0.000 0.000
O 2.151 2.151 0.000
```

Output
- ΔE to the lowest computed polymorph: 0.180 eV per atom
- Crystal system: tetragonal

Record 3
The following is a DFT calculation (PBE) of KErAgSe3 after structural relaxation.

Geometry as extended XYZ:
```
24
Lattice="15.037 0.000 0.000 0.000 4.111 0.000 0.000 0.000 10.972" Properties=species:S:1:pos:R:3 pbc="T T T"
Ag 14.796 3.083 1.042
Ag 7.278 3.083 4.444
Ag 7.759 1.028 6.528
Ag 0.241 1.028 9.930
Er 7.180 1.028 1.736
Er 14.698 1.028 3.751
Er 0.338 3.083 7.222
Er 7.856 3.083 9.237
K 11.528 1.028 0.496
K 4.010 1.028 4.990
K 11.027 3.083 5.982
K 3.509 3.083 10.476
Se 8.971 3.083 0.852
Se 1.405 1.028 1.426
Se 5.407 3.083 2.589
Se 12.925 3.083 2.897
Se 8.923 1.028 4.060
Se 1.453 3.083 4.634
Se 13.584 1.028 6.339
Se 6.113 3.083 6.912
Se 2.111 1.028 8.075
Se 9.629 1.028 8.383
Se 13.631 3.083 9.546
Se 6.066 1.028 10.120
```

Output
- E: -4.278 eV per atom
- Crystal system: orthorhombic

Record 4
The following is a DFT calculation (PBE) of InCu2B after structural relaxation.

Geometry as extended XYZ:
```
16
Lattice="5.995 0.000 0.000 0.000 5.995 0.000 0.000 0.000 5.995" Properties=species:S:1:pos:R:3 pbc="T T T"
B 0.000 0.000 0.000
B 2.998 0.000 0.000
B 0.000 2.998 0.000
B 0.000 0.000 2.998
Cu 1.247 1.247 1.247
Cu 4.748 1.247 1.247
Cu 1.247 4.748 1.247
Cu 4.748 4.748 1.247
Cu 1.247 1.247 4.748
Cu 4.748 1.247 4.748
Cu 1.247 4.748 4.748
Cu 4.748 4.748 4.748
In 2.998 2.998 0.000
In 2.998 0.000 2.998
In 0.000 2.998 2.998
In 2.998 2.998 2.998
```

Output
- E: -3.619 eV per atom
- Crystal system: cubic

Record 5
The following is a DFT calculation (PBE) of Fe2AsPb after structural relaxation.

Geometry as extended XYZ:
```
16
Lattice="-5.514 1.330 3.103 2.683 -1.880 5.574 2.049 6.041 1.051" Properties=species:S:1:pos:R:3 pbc="T T T"
As 0.000 0.000 0.000
As -2.757 0.665 1.552
As 1.342 -0.940 2.787
As 1.024 3.021 0.525
Fe -0.164 1.151 2.039
Fe -3.366 1.924 3.841
Fe 1.395 0.059 5.276
Fe -1.808 0.832 7.078
Fe 1.026 4.660 2.649
Fe -2.176 5.432 4.452
Fe 2.585 3.568 5.886
Fe -0.618 4.341 7.689
Pb -1.415 -0.275 4.338
Pb -1.733 3.686 2.077
Pb 2.366 2.081 3.312
Pb -0.391 2.746 4.864
```

Output
- E: -5.889 eV per atom
- Crystal system: cubic

Record 6
The following is a DFT calculation (PBE) of TaAlOs2 after structural relaxation.

Geometry as extended XYZ:
```
16
Lattice="-1.535 -5.155 -1.441 2.834 1.198 -7.302 4.974 -1.932 1.614" Properties=species:S:1:pos:R:3 pbc="T T T"
Al 0.453 -2.038 -2.308
Al 2.801 -4.676 -6.129
Al 3.473 -1.213 -1.001
Al 5.821 -3.851 -4.822
Os 1.354 -3.284 -4.403
Os 2.712 -2.710 -7.900
Os 1.279 -1.528 0.155
Os 2.636 -0.954 -3.342
Os 3.637 -4.935 -3.788
Os 4.995 -4.361 -7.285
Os 3.562 -3.179 0.770
Os 4.919 -2.606 -2.727
Ta -0.521 -4.520 -3.093
Ta 3.783 -2.166 -5.336
Ta 2.491 -3.723 -1.793
Ta 6.794 -1.369 -4.037
```

Output
- ΔE to the lowest computed polymorph: 0.355 eV per atom
- Crystal system: orthorhombic

Record 7
The following is a DFT calculation (PBE) of LuZrCoB after structural relaxation.

Geometry as extended XYZ:
```
4
Lattice="0.000 3.105 3.105 3.105 0.000 3.105 3.105 3.105 0.000" Properties=species:S:1:pos:R:3 pbc="T T T"
B 0.000 0.000 0.000
Co 4.657 4.657 4.657
Lu 1.552 1.552 1.552
Zr 3.105 3.105 3.105
```

Output
- ΔE to the lowest computed polymorph: 0.000 eV per atom
- Crystal system: cubic

Record 8
The following is a DFT calculation (PBE) of CsPm2Cu3Te4S after structural relaxation.

Geometry as extended XYZ:
```
22
Lattice="0.259 5.161 -6.272 -3.989 -2.944 6.439 7.943 12.561 10.663" Properties=species:S:1:pos:R:3 pbc="T T T"
Cs 0.435 4.848 1.809
Cs 3.778 9.929 9.022
Cu -3.476 -2.018 5.602
Cu 1.524 6.926 -1.449
Cu 0.174 3.753 10.501
Cu 4.040 11.024 0.329
Cu 2.690 7.852 12.280
Cu 7.689 16.795 5.228
Pm -1.903 0.775 3.651
Pm 0.475 4.536 6.844
Pm 3.738 10.241 3.987
Pm 6.116 14.002 7.179
S -0.857 2.383 5.676
S 5.070 12.395 5.155
Te -0.640 3.268 -1.220
Te 0.987 6.237 -4.284
Te 3.036 9.476 -1.534
Te 2.242 7.825 2.648
Te 1.972 6.953 8.183
Te 1.178 5.301 12.364
Te 3.226 8.541 15.114
Te 4.853 11.509 12.051
```

Output
- E: -4.394 eV per atom
- Crystal system: orthorhombic

Record 9
The following is a DFT calculation (PBE) of LiScAl2Cu4 after structural relaxation.

Geometry as extended XYZ:
```
16
Lattice="-6.120 -3.007 3.007 -6.120 3.007 -3.007 6.120 -3.007 -3.007" Properties=species:S:1:pos:R:3 pbc="T T T"
Al -6.187 0.000 0.000
Al -12.174 0.000 0.000
Al -3.127 -3.007 0.000
Al -2.994 0.000 -3.007
Cu -7.650 1.503 -1.622
Cu -4.590 1.385 -1.503
Cu -1.530 -1.503 -1.385
Cu -4.590 -1.385 -1.503
Cu 1.530 -1.622 -1.503
Cu -7.650 -1.503 -1.622
Cu 1.530 -4.392 -1.503
Cu -1.530 -4.510 -1.385
Li -3.060 0.000 0.000
Li 0.000 -3.007 0.000
Sc -9.180 0.000 0.000
Sc 0.000 0.000 -3.007
```

Output
- ΔE to the lowest computed polymorph: 0.012 eV per atom
- Crystal system: tetragonal

Record 10
The following is a DFT calculation (PBE) of Gd2ErTl3AgPt2 after structural relaxation.

Geometry as extended XYZ:
```
9
Lattice="3.785 0.000 0.000 0.000 6.863 3.980 0.000 -6.863 3.980" Properties=species:S:1:pos:R:3 pbc="T T T"
Ag 0.000 0.000 7.952
Er 0.000 0.000 4.686
Gd 0.000 2.818 1.634
Gd 0.000 -2.818 1.634
Pt 1.893 2.260 3.987
Pt 1.893 -2.260 3.987
Tl 1.893 0.000 2.149
Tl 1.893 1.848 6.883
Tl 1.893 -1.848 6.883
```

Output
- E: -4.650 eV per atom
- Crystal system: orthorhombic

Record 11
The following is a DFT calculation (PBE) of Dy2Er3Lu2Te2Ir2 after structural relaxation.

Geometry as extended XYZ:
```
11
Lattice="-1.960 7.794 4.693 1.960 -7.794 4.693 1.960 7.794 -4.693" Properties=species:S:1:pos:R:3 pbc="T T T"
Dy 0.000 5.743 2.488
Dy 0.000 9.845 2.488
Er 0.000 2.291 3.881
Er 1.960 0.000 1.714
Er 1.960 5.503 -0.812
Ir 1.960 -3.689 2.379
Ir 1.960 3.689 2.379
Lu 0.000 2.889 0.513
Lu 0.000 12.700 0.513
Te 0.000 0.000 8.642
Te 0.000 7.794 0.164
```

Output
- ΔE to the lowest computed polymorph: 0.001 eV per atom
- Crystal system: orthorhombic

Record 12
The following is a DFT calculation (PBE) of LuScCoGe after structural relaxation.

Geometry as extended XYZ:
```
4
Lattice="0.000 3.241 3.241 3.241 0.000 3.241 3.241 3.241 0.000" Properties=species:S:1:pos:R:3 pbc="T T T"
Co 4.861 4.861 4.861
Ge 0.000 0.000 0.000
Lu 3.241 3.241 3.241
Sc 1.620 1.620 1.620
```

Output
- ΔE to the lowest computed polymorph: 0.000 eV per atom
- Crystal system: cubic